No. 1
# CsTeBr2 PBE relaxed
data_CsTeBr2
_cell_length_a 6.370
_cell_length_b 6.370
_cell_length_c 19.154
_cell_angle_alpha 90.00
_cell_angle_beta 90.00
_cell_angle_gamma 90.00
_space_group_name_H-M_alt 'I -4 2 d'
_space_group_IT_number 122
_space_group_name_Hall 'I -4 2bw'
loop_
_atom_site_label
_atom_site_type_symbol
_atom_site_fract_x
_atom_site_fract_y
_atom_site_fract_z
Cs1 Cs 0.000 0.000 0.000
Te1 Te 0.000 0.000 0.500
Br1 Br 0.139 0.250 0.625
# Crystal system: tetragonal
# Total DFT energy (no corrections): -0.18471 Ry/atom
# ΔE to the lowest computed polymorph: 78 meV per atom
# Formation energy (no corrections): -262 kJ/mol of formula units



No. 2
# Be2ReHg PBE relaxed
data_Be2ReHg
_cell_length_a 2.780
_cell_length_b 4.181
_cell_length_c 9.146
_cell_angle_alpha 90.00
_cell_angle_beta 90.00
_cell_angle_gamma 90.00
_space_group_name_H-M_alt 'I m m 2'
_space_group_IT_number 44
loop_
_space_group_symop_operation_xyz
'x,y,z'
'-x,-y,z'
'-x,y,z'
'x,-y,z'
'x+1/2,y+1/2,z+1/2'
'-x+1/2,-y+1/2,z+1/2'
'-x+1/2,y+1/2,z+1/2'
'x+1/2,-y+1/2,z+1/2'
loop_
_atom_site_label
_atom_site_type_symbol
_atom_site_fract_x
_atom_site_fract_y
_atom_site_fract_z
Be1 Be 0.000 0.000 0.000
Be2 Be 0.000 0.500 0.266
Re1 Re 0.000 0.000 0.536
Hg1 Hg 0.000 0.500 0.757
# Calculated formation energy: 1.93 eV per formula unit
# Crystal system: orthorhombic
# Total DFT energy (no corrections): -0.33574 Ry/atom



Q: Which of these has the lowest total DFT energy (no corrections)?
A: Be2ReHg



Q: Among the records above, which one has the highest total DFT energy (no corrections)?
A: CsTeBr2



Copy entry 2 word for word.
# Be2ReHg PBE relaxed
data_Be2ReHg
_cell_length_a 2.780
_cell_length_b 4.181
_cell_length_c 9.146
_cell_angle_alpha 90.00
_cell_angle_beta 90.00
_cell_angle_gamma 90.00
_space_group_name_H-M_alt 'I m m 2'
_space_group_IT_number 44
loop_
_space_group_symop_operation_xyz
'x,y,z'
'-x,-y,z'
'-x,y,z'
'x,-y,z'
'x+1/2,y+1/2,z+1/2'
'-x+1/2,-y+1/2,z+1/2'
'-x+1/2,y+1/2,z+1/2'
'x+1/2,-y+1/2,z+1/2'
loop_
_atom_site_label
_atom_site_type_symbol
_atom_site_fract_x
_atom_site_fract_y
_atom_site_fract_z
Be1 Be 0.000 0.000 0.000
Be2 Be 0.000 0.500 0.266
Re1 Re 0.000 0.000 0.536
Hg1 Hg 0.000 0.500 0.757
# Calculated formation energy: 1.93 eV per formula unit
# Crystal system: orthorhombic
# Total DFT energy (no corrections): -0.33574 Ry/atom



Please write out number 1 again, unchanged.
# CsTeBr2 PBE relaxed
data_CsTeBr2
_cell_length_a 6.370
_cell_length_b 6.370
_cell_length_c 19.154
_cell_angle_alpha 90.00
_cell_angle_beta 90.00
_cell_angle_gamma 90.00
_space_group_name_H-M_alt 'I -4 2 d'
_space_group_IT_number 122
_space_group_name_Hall 'I -4 2bw'
loop_
_atom_site_label
_atom_site_type_symbol
_atom_site_fract_x
_atom_site_fract_y
_atom_site_fract_z
Cs1 Cs 0.000 0.000 0.000
Te1 Te 0.000 0.000 0.500
Br1 Br 0.139 0.250 0.625
# Crystal system: tetragonal
# Total DFT energy (no corrections): -0.18471 Ry/atom
# ΔE to the lowest computed polymorph: 78 meV per atom
# Formation energy (no corrections): -262 kJ/mol of formula units